DFT (PBE) results for AlPb2 after structural relaxation.

Structure (POSCAR):
```
AlPb2
1.0
7.047 0.000 0.000
0.000 7.047 0.000
0.000 0.000 7.047
Al Pb
4 8
Cartesian
0.000 0.000 0.000
0.000 3.524 3.524
3.524 0.000 3.524
3.524 3.524 0.000
0.955 4.479 6.092
0.955 6.092 2.568
2.568 0.955 6.092
2.568 2.568 2.568
4.479 4.479 4.479
4.479 6.092 0.955
6.092 0.955 4.479
6.092 2.568 0.955
```

- Raw total energy: -3.438 eV per atom
- Total magnetic moment: 0.0 Bohr magnetons per cell
- Space-group type: Pa-3
- Energy relative to the elements: 81 kJ/mol of formula units